Ac2CuSi | Alexandria | GGA-PBEsol | optimized geometry; E = -5.02 eV/atom; uncorrected formation energy = -252 meV/atom; symmetry = Fm-3m; D(E_F) = 0.791 states/eV per atom; magnetization = 0.0 μB/cell
1.0
-1.808 -4.437 -2.312
1.522 -4.760 1.825
-3.480 -3.104 2.559
Cu Si Ac
1 1 2
direct
0.500 0.500 0.500 Cu
0.000 0.000 0.000 Si
0.250 0.250 0.250 Ac
0.750 0.750 0.750 Ac